#1
Ce2ThZn: relaxed, PBE.

extended XYZ file:
```
4
Lattice="-0.429 -0.009 -4.927 2.765 -3.653 -0.234 -3.639 -2.775 0.322" Properties=species:S:1:pos:R:3 pbc="T T T"
Zn -0.214 -0.004 -2.464
Ce -1.820 -1.387 0.161
Ce 1.382 -1.827 -0.117
Th -0.651 -3.218 -2.420
```

Calculated values
space group	P4/mmm, No. 123
total magnetic moment	1.2	Bohr magnetons per cell


#2
Ce2ThZn: relaxed, PBE.

extended XYZ file:
```
4
Lattice="3.414 0.000 0.000 1.707 2.957 0.000 1.707 0.986 10.676" Properties=species:S:1:pos:R:3 pbc="T T T"
Ce 1.708 0.986 8.253
Ce 1.707 0.986 2.423
Th 3.415 1.971 5.338
Zn 3.414 1.971 0.000
```

Calculated values
space group	R3m, No. 160
total magnetic moment	0.3	Bohr magnetons per cell


#3
Ce2ThZn: relaxed, PBE.

extended XYZ file:
```
4
Lattice="-2.304 -4.766 -0.371 2.129 -3.742 -3.103 2.322 -4.247 2.177" Properties=species:S:1:pos:R:3 pbc="T T T"
Zn 1.074 -6.378 -0.649
Ce 0.537 -3.189 -0.324
Ce 1.611 -9.566 -0.973
Th 0.000 0.000 0.000
```

Calculated values
space group	Fm-3m, No. 225
total magnetic moment	1.0	Bohr magnetons per cell


The data favor #1; the next most stable structure lies 0.063 eV/atom above it.


#1
CeThZn2: relaxed, PBE.

extended XYZ file:
```
4
Lattice="3.635 0.000 0.000 0.000 3.635 0.000 0.000 0.000 7.315" Properties=species:S:1:pos:R:3 pbc="T T T"
Zn 0.000 0.000 5.514
Zn 0.000 0.000 1.801
Ce 1.817 1.817 0.000
Th 1.817 1.817 3.658
```

Calculated values
space group	P4/mmm, No. 123
total magnetic moment	0.7	Bohr magnetons per cell


#2
CeThZn2: relaxed, PBE.

extended XYZ file:
```
4
Lattice="4.282 0.000 0.000 0.000 4.680 0.000 0.000 0.000 4.680" Properties=species:S:1:pos:R:3 pbc="T T T"
Zn 0.000 0.000 2.340
Zn 0.000 2.340 0.000
Ce 2.141 0.000 0.000
Th 2.141 2.340 2.340
```

Calculated values
space group	P4/mmm, No. 123
total magnetic moment	0.4	Bohr magnetons per cell


#3
CeThZn2: relaxed, PBE.

extended XYZ file:
```
4
Lattice="-4.173 -2.701 1.336 0.391 -5.047 0.936 -0.489 -1.771 4.809" Properties=species:S:1:pos:R:3 pbc="T T T"
Zn -1.068 -2.380 1.770
Zn -3.203 -7.139 5.311
Ce -2.135 -4.759 3.541
Th 0.000 0.000 0.000
```

Calculated values
space group	Fm-3m, No. 225
total magnetic moment	0.6	Bohr magnetons per cell


The data favor #1; the next most stable structure lies 0.013 eV/atom above it.


#1
CeThZn: relaxed, PBE.

extended XYZ file:
```
3
Lattice="-0.688 3.141 1.697 1.506 -1.962 4.242 3.214 2.284 -2.927" Properties=species:S:1:pos:R:3 pbc="T T T"
Zn 2.414 1.921 0.031
Ce -0.010 0.047 0.025
Th 1.628 1.496 2.956
```

Calculated values
space group	P3m1, No. 156
total magnetic moment	0.5	Bohr magnetons per cell


#2
CeThZn: relaxed, PBE.

extended XYZ file:
```
6
Lattice="3.419 0.000 0.000 0.000 3.419 0.000 0.000 0.000 13.033" Properties=species:S:1:pos:R:3 pbc="T T T"
Ce 0.000 1.710 7.675
Ce 1.710 0.000 5.358
Th 0.000 1.710 2.788
Th 1.710 0.000 10.245
Zn 1.710 0.000 0.635
Zn 0.000 1.710 12.399
```

Calculated values
space group	P4/nmm, No. 129
total magnetic moment	0.0	Bohr magnetons per cell


#3
CeThZn: relaxed, PBE.

extended XYZ file:
```
3
Lattice="-2.500 2.212 -1.546 -2.678 -2.290 1.056 2.059 3.022 5.370" Properties=species:S:1:pos:R:3 pbc="T T T"
Zn -2.767 0.962 1.474
Ce -0.333 1.874 3.219
Th -0.019 0.109 0.187
```

Calculated values
space group	I4mm, No. 107
total magnetic moment	0.7	Bohr magnetons per cell


The data favor #3; the next most stable structure lies 0.060 eV/atom above it.


#1
Ce2ThZr: relaxed, PBE.

extended XYZ file:
```
4
Lattice="3.393 0.000 0.000 1.696 2.938 0.000 1.696 0.979 11.017" Properties=species:S:1:pos:R:3 pbc="T T T"
Zr 0.000 0.000 0.000
Ce 5.089 2.938 8.314
Ce 1.696 0.979 2.703
Th 3.393 1.959 5.508
```

Calculated values
space group	R-3m, No. 166
total magnetic moment	0.0	Bohr magnetons per cell


#2
Ce2ThZr: relaxed, PBE.

extended XYZ file:
```
4
Lattice="5.037 0.000 0.000 0.000 4.684 0.000 0.000 0.000 4.684" Properties=species:S:1:pos:R:3 pbc="T T T"
Zr 2.519 0.000 0.000
Ce 0.000 0.000 2.342
Ce 0.000 2.342 0.000
Th 2.519 2.342 2.342
```

Calculated values
space group	P4/mmm, No. 123
total magnetic moment	0.0	Bohr magnetons per cell


The data favor #1; the next most stable structure lies 0.016 eV/atom above it.


#1
CeThZr2: relaxed, PBE.

extended XYZ file:
```
4
Lattice="-3.928 1.805 -3.106 -0.185 -1.391 -5.135 -3.777 -3.332 -1.720" Properties=species:S:1:pos:R:3 pbc="T T T"
Zr -1.973 -0.730 -2.490
Zr -5.918 -2.189 -7.470
Ce -3.945 -1.459 -4.980
Th 0.000 0.000 0.000
```

Calculated values
space group	Fm-3m, No. 225
total magnetic moment	0.8	Bohr magnetons per cell


#2
CeThZr2: relaxed, PBE.

extended XYZ file:
```
4
Lattice="-0.783 3.140 2.253 -2.513 -2.160 2.138 5.143 -1.771 4.255" Properties=species:S:1:pos:R:3 pbc="T T T"
Zr 4.000 -1.377 3.309
Zr 1.143 -0.394 0.946
Ce -1.648 0.490 2.196
Th 0.924 -0.395 4.323
```

Calculated values
space group	P4/mmm, No. 123
total magnetic moment	0.0	Bohr magnetons per cell


The data favor #2; the next most stable structure lies 0.032 eV/atom above it.


#1
CeThZr2: relaxed, PBE.

extended XYZ file:
```
4
Lattice="4.988 0.000 0.000 0.000 4.626 0.000 0.000 0.000 4.626" Properties=species:S:1:pos:R:3 pbc="T T T"
Zr 0.000 0.000 2.313
Zr 0.000 2.313 0.000
Ce 2.494 0.000 0.000
Th 2.494 2.313 2.313
```

Calculated values
space group	P4/mmm, No. 123
total magnetic moment	0.0	Bohr magnetons per cell


#2
CeThZr2: relaxed, PBE.

extended XYZ file:
```
4
Lattice="3.355 0.000 0.001 1.678 2.906 0.001 1.681 0.970 10.962" Properties=species:S:1:pos:R:3 pbc="T T T"
Ce 3.356 1.938 5.483
Th 3.355 1.937 0.006
Zr 1.680 0.970 8.186
Zr 1.679 0.969 2.771
```

Calculated values
space group	R3m, No. 160
total magnetic moment	0.0	Bohr magnetons per cell


#3
CeThZr2: relaxed, PBE.

extended XYZ file:
```
4
Lattice="3.354 0.000 0.000 1.677 2.905 0.000 1.677 0.968 10.944" Properties=species:S:1:pos:R:3 pbc="T T T"
Zr 1.677 0.968 2.786
Zr 5.031 2.905 8.157
Ce 3.354 1.936 5.472
Th 0.000 0.000 0.000
```

Calculated values
space group	R-3m, No. 166
total magnetic moment	0.0	Bohr magnetons per cell


The data favor #1; the next most stable structure lies 0.030 eV/atom above it.


#1
CeTi3: relaxed, PBE.

extended XYZ file:
```
4
Lattice="4.540 0.000 0.000 0.000 4.540 0.000 -2.270 -2.270 3.754" Properties=species:S:1:pos:R:3 pbc="T T T"
Ce 0.000 0.000 0.000
Ti 2.270 0.000 1.877
Ti 0.000 2.270 1.877
Ti 2.270 2.270 0.000
```

Calculated values
space group	I4/mmm, No. 139
total magnetic moment	0.0	Bohr magnetons per cell


#2
CeTi3: relaxed, PBE.

extended XYZ file:
```
4
Lattice="-1.812 -1.243 1.881 -0.579 -4.224 -3.350 4.964 0.506 2.893" Properties=species:S:1:pos:R:3 pbc="T T T"
Ce -0.023 -0.167 -0.132
Ti 1.619 -2.295 0.043
Ti -1.219 -2.907 -0.872
Ti 1.194 -0.918 2.768
```

Calculated values
space group	Imm2, No. 44
total magnetic moment	0.0	Bohr magnetons per cell


#3
CeTi3: relaxed, PBE.

extended XYZ file:
```
4
Lattice="4.272 0.000 0.000 0.000 4.272 0.000 0.000 0.000 4.272" Properties=species:S:1:pos:R:3 pbc="T T T"
Ce 0.000 0.000 0.000
Ti 0.000 2.136 2.136
Ti 2.136 0.000 2.136
Ti 2.136 2.136 0.000
```

Calculated values
space group	Pm-3m, No. 221
total magnetic moment	0.0	Bohr magnetons per cell


The data favor #1; the next most stable structure lies 0.007 eV/atom above it.


#1
Ce2TmTi: relaxed, PBE.

extended XYZ file:
```
4
Lattice="3.242 0.000 0.000 0.000 3.242 0.000 0.000 0.000 9.711" Properties=species:S:1:pos:R:3 pbc="T T T"
Tm 1.621 1.621 4.855
Ce 0.000 0.000 7.507
Ce 0.000 0.000 2.204
Ti 1.621 1.621 0.000
```

Calculated values
space group	P4/mmm, No. 123
total magnetic moment	0.0	Bohr magnetons per cell


#2
Ce2TmTi: relaxed, PBE.

extended XYZ file:
```
4
Lattice="-2.483 -3.979 1.381 1.951 -2.384 -3.361 3.409 -1.156 2.799" Properties=species:S:1:pos:R:3 pbc="T T T"
Tm 1.439 -3.759 0.409
Ce 1.704 -0.578 1.399
Ce 0.976 -1.192 -1.681
Ti -1.241 -1.989 0.691
```

Calculated values
space group	P4/mmm, No. 123
total magnetic moment	0.0	Bohr magnetons per cell


#3
Ce2TmTi: relaxed, PBE.

extended XYZ file:
```
4
Lattice="-1.334 -1.520 -4.925 0.316 -5.132 -1.379 -4.444 -2.818 -0.804" Properties=species:S:1:pos:R:3 pbc="T T T"
Tm 0.000 0.000 0.000
Ce -1.366 -2.367 -1.777
Ce -4.097 -7.102 -5.331
Ti -2.731 -4.735 -3.554
```

Calculated values
space group	Fm-3m, No. 225
total magnetic moment	2.1	Bohr magnetons per cell


#4
Ce2TmTi: relaxed, PBE.

extended XYZ file:
```
4
Lattice="3.140 0.000 0.000 1.570 2.719 0.000 1.570 0.906 11.621" Properties=species:S:1:pos:R:3 pbc="T T T"
Tm 3.140 1.813 5.810
Ce 1.570 0.906 8.903
Ce 4.710 2.719 2.718
Ti 0.000 0.000 0.000
```

Calculated values
space group	R-3m, No. 166
total magnetic moment	0.0	Bohr magnetons per cell


The data favor #1; the next most stable structure lies 0.032 eV/atom above it.